Entry 1:
First-principles (GGA-PBE) data for a relaxed structure of TbInBi2, as listed in Alexandria.

Cell: 5.1112 5.1112 10.2973 Å, 90.00 90.00 111.15°
Positions (direct):
Tb (0.1271, 0.8729, 0.7500)
Tb (0.8729, 0.1271, 0.2500)
In (0.4913, 0.5087, 0.7500)
In (0.5087, 0.4913, 0.2500)
Bi (0.2007, 0.7993, 0.0701)
Bi (0.2007, 0.7993, 0.4299)
Bi (0.7993, 0.2007, 0.5701)
Bi (0.7993, 0.2007, 0.9299)

## Properties
E above lowest polymorph ... 184 meV/atom
Space group ... Cmcm (63)
Spin magnetization ... 0.00 μB/cell
Mass density ... 9.16 g cm⁻³
Formation energy from the elements ... -0.86 eV per formula unit

Entry 2:
First-principles (GGA-PBE) data for a relaxed structure of TbInBi2, as listed in Alexandria.

Cell: 9.0062 9.0062 9.0062 Å, 31.87 31.87 31.87°
Positions (direct):
Tb (0.0000, 0.0000, 0.0000)
In (0.5000, 0.5000, 0.5000)
Bi (0.3897, 0.3897, 0.3897)
Bi (0.6103, 0.6103, 0.6103)

## Properties
E above lowest polymorph ... 402 meV/atom
Space group ... R-3m (166)
Spin magnetization ... 0.00 μB/cell
Mass density ... 6.35 g cm⁻³
Formation energy from the elements ... 0.01 eV per formula unit

What is the formation energy from the elements in the first record? -0.86 eV per formula unit

mass density of number 2 (TbInBi2)? 6.35 g cm⁻³

Number 2 is which compound? TbInBi2

What is the formula in the second record? TbInBi2